DFT (GGA-PBE) results for a geometry-optimized Cs2RbMg structure.

SG	P4/mmm (123)
excess energy over the best structure of this formula in the dataset	0.001	eV/atom

Cell lengths 6.4739, 6.7361, 6.7361 Å; angles 90.00, 90.00, 90.00 degrees
Fractional coordinates of all 4 atoms:
1 Rb 0.5000 0.5000 0.5000
2 Cs 0.0000 0.0000 0.5000
3 Mg 0.5000 0.0000 0.0000
4 Cs 0.0000 0.5000 0.0000



DFT (GGA-PBE) results for a geometry-optimized NbBr3 structure.

SG	Pm-3m (221)
formation energy without anion corrections	-0.54	eV per atom

Cell lengths 5.2000, 5.2000, 5.1999 Å; angles 89.95, 89.95, 90.01 degrees
Last column: magnetic moment on the atom in μB.
Fractional coordinates of all 4 atoms:
1 Br 0.0000 0.5000 0.0000  0.01
2 Br 0.5000 0.0000 0.0000  0.01
3 Nb 0.0000 0.0000 0.0000  0.43
4 Br 0.0000 0.0000 0.5000  0.01



DFT (GGA-PBE) results for a geometry-optimized LiTb2Mg structure.

SG	P4/mmm (123)
excess energy over the best structure of this formula in the dataset	0.000	eV/atom

Cell lengths 3.7769, 3.7769, 7.4733 Å; angles 90.00, 90.00, 90.00 degrees
Fractional coordinates of all 4 atoms:
1 Tb 0.0000 0.0000 0.7490
2 Li 0.5000 0.5000 0.0000
3 Tb 0.0000 0.0000 0.2510
4 Mg 0.5000 0.5000 0.5000



DFT (GGA-PBE) results for a geometry-optimized Ba4Sr3Ac structure.

SG	Immm (71)
energy	-16.51	eV/cell

Cell lengths 4.7560, 6.8735, 14.3394 Å; angles 103.87, 99.55, 90.00 degrees
Fractional coordinates of all 8 atoms:
1 Ba 0.3813 0.3814 0.7627
2 Sr 0.8777 0.8777 0.7554
3 Sr 0.5000 0.0000 0.0000
4 Ac 0.0000 0.5000 0.0000
5 Ba 0.6187 0.6186 0.2373
6 Ba 0.7521 0.2522 0.5043
7 Ba 0.2479 0.7478 0.4957
8 Sr 0.1223 0.1223 0.2446



DFT (GGA-PBE) results for a geometry-optimized Ac3Ce2ErSe6 structure.

SG	C2/m (12)
formation energy without anion corrections	-1.81	eV per atom

Cell lengths 7.4144, 7.4144, 7.5561 Å; angles 99.44, 99.44, 120.06 degrees
Last column: magnetic moment on the atom in μB.
Fractional coordinates of all 12 atoms:
1 Ac 0.1698 0.8302 0.5000  0.00
2 Ac 0.5000 0.5000 0.5000  0.00
3 Ce 0.3341 0.6659 0.0000  0.83
4 Se 0.7529 0.7529 0.2302  -0.01
5 Ac 0.8302 0.1698 0.5000  0.00
6 Se 0.6006 0.9251 0.7739  -0.01
7 Er 0.0000 0.0000 0.0000  0.02
8 Se 0.0749 0.3994 0.2261  -0.01
9 Ce 0.6659 0.3341 0.0000  0.83
10 Se 0.3994 0.0749 0.2261  -0.01
11 Se 0.2471 0.2471 0.7698  -0.01
12 Se 0.9251 0.6006 0.7739  -0.01



DFT (GGA-PBE) results for a geometry-optimized Ta2InNi structure.

SG	F-43m (216)
energy	-30.75	eV/cell

Cell lengths 4.6266, 4.6266, 4.6266 Å; angles 60.00, 60.00, 60.00 degrees
Last column: magnetic moment on the atom in μB.
Fractional coordinates of all 4 atoms:
1 Ni 0.7500 0.7500 0.7500  0.19
2 In 0.5000 0.5000 0.5000  0.01
3 Ta 0.0000 0.0000 0.0000  0.23
4 Ta 0.2500 0.2500 0.2500  0.39



DFT (GGA-PBE) results for a geometry-optimized Tb5DyHo structure.

SG	C2/c (15)
excess energy over the best structure of this formula in the dataset	0.000	eV/atom

Cell lengths 6.7378, 6.7378, 13.5719 Å; angles 61.96, 61.96, 59.74 degrees
Fractional coordinates of all 14 atoms:
1 Tb 0.1664 0.8336 0.7500
2 Ho 0.0000 0.0000 0.0000
3 Tb 0.6838 0.6596 0.9984
4 Tb 0.1607 0.3915 0.7554
5 Dy 0.7220 0.2780 0.7500
6 Tb 0.3915 0.1607 0.2554
7 Tb 0.8393 0.6085 0.2446
8 Tb 0.3404 0.3162 0.5016
9 Tb 0.6085 0.8393 0.7446
10 Tb 0.3162 0.3404 0.0016
11 Tb 0.6596 0.6838 0.4984
12 Dy 0.2780 0.7220 0.2500
13 Ho 0.0000 0.0000 0.5000
14 Tb 0.8336 0.1664 0.2500



DFT (GGA-PBE) results for a geometry-optimized CaLaCoAg structure.

SG	F-43m (216)
energy	-16.88	eV/cell

Cell lengths 5.1140, 5.1140, 5.1140 Å; angles 60.00, 60.00, 60.00 degrees
Last column: magnetic moment on the atom in μB.
Fractional coordinates of all 4 atoms:
1 Ag 0.7500 0.7500 0.7500  -0.01
2 La 0.0000 0.0000 0.0000  -0.09
3 Ca 0.5000 0.5000 0.5000  -0.04
4 Co 0.2500 0.2500 0.2500  0.75



DFT (GGA-PBE) results for a geometry-optimized LaY4Tm10 structure.

SG	I4/m (87)
energy	-66.99	eV/cell

Cell lengths 6.4400, 9.6336, 9.6336 Å; angles 83.59, 70.47, 70.47 degrees
Fractional coordinates of all 15 atoms:
1 Tm 0.8800 0.5795 0.1617
2 Tm 0.1200 0.4205 0.8383
3 Y 0.4325 0.8921 0.2429
4 Y 0.5675 0.1079 0.7571
5 Tm 0.2500 0.5000 0.5000
6 Y 0.3246 0.2429 0.1079
7 Tm 0.7500 0.5000 0.5000
8 Tm 0.6212 0.4205 0.8383
9 La 0.0000 0.0000 0.0000
10 Tm 0.3788 0.5795 0.1617
11 Tm 0.9583 0.1617 0.4205
12 Tm 0.0417 0.8383 0.5795
13 Y 0.6754 0.7571 0.8921
14 Tm 0.4596 0.1617 0.4205
15 Tm 0.5404 0.8383 0.5795



DFT (GGA-PBE) results for a geometry-optimized TbTmTh2 structure.

SG	Fm-3m (225)
excess energy over the best structure of this formula in the dataset	0.107	eV/atom

Cell lengths 5.6362, 5.6362, 5.6362 Å; angles 60.00, 60.00, 60.00 degrees
Fractional coordinates of all 4 atoms:
1 Th 0.2500 0.2500 0.2500
2 Tb 0.0000 0.0000 0.0000
3 Th 0.7500 0.7500 0.7500
4 Tm 0.5000 0.5000 0.5000



DFT (GGA-PBE) results for a geometry-optimized RbTiTl2Ag structure.

SG	P4/mmm (123)
energy	-14.72	eV/cell

Cell lengths 5.5843, 5.3701, 5.5843 Å; angles 90.00, 90.00, 90.00 degrees
Last column: magnetic moment on the atom in μB.
Fractional coordinates of all 5 atoms:
1 Rb 0.5000 0.5000 0.5000  0.00
2 Tl 0.0000 0.0000 0.5000  0.05
3 Tl 0.5000 0.0000 0.0000  0.05
4 Ti 0.0000 0.0000 0.0000  1.05
5 Ag 0.0000 0.5000 0.0000  0.04



DFT (GGA-PBE) results for a geometry-optimized NaTmCdHg structure.

SG	F-43m (216)
energy	-7.83	eV/cell

Cell lengths 5.1578, 5.1578, 5.1578 Å; angles 60.00, 60.00, 60.00 degrees
Fractional coordinates of all 4 atoms:
1 Na 0.5000 0.5000 0.5000
2 Cd 0.7500 0.7500 0.7500
3 Tm 0.0000 0.0000 0.0000
4 Hg 0.2500 0.2500 0.2500